[1]
Entry from Alexandria via LeMat-Bulk: Ce3TmSi4 after structural relaxation (PBE).

Calculated volume ... 200 Å³ per cell
Fermi-level density of states ... 1.496 states/eV/atom
E_form (uncorrected) ... -0.518 eV/atom
Crystal system ... orthorhombic
Uncorrected energy ... -0.44197 Ry/atom

abc: 4.0563 6.3007 8.6797
angles: 111.28 103.51 90.00
Closest atoms and distances in Å follow each position.
Fractional positions:
Ce 0.0000 0.5000 0.0000  8 Si 3.10
Ce 0.1945 0.1945 0.3891  6 Si 3.00
Ce 0.8055 0.8055 0.6109  6 Si 3.00
Tm 0.5000 0.0000 0.0000  4 Si 2.83
Si 0.3705 0.5583 0.7410  1 Si 2.37
Si 0.6295 0.4417 0.2590  1 Si 2.37
Si 0.6295 0.8172 0.2590  1 Si 2.37
Si 0.3705 0.1828 0.7410  1 Si 2.37

[2]
Entry from Alexandria via LeMat-Bulk: PrAl3H12 after structural relaxation (PBE).

Calculated volume ... 444 Å³ per cell
Fermi-level density of states ... 0.000 states/eV/atom
Crystal system ... trigonal
Uncorrected energy ... -0.26433 Ry/atom

abc: 8.1792 8.1792 8.9998
angles: 62.97 62.97 60.00
Closest atoms and distances in Å follow each position.
Fractional positions:
Pr 0.0499 0.0499 0.8503  9 H 2.24-2.38
Pr 0.5499 0.5499 0.3503  9 H 2.24-2.38
Al 0.6494 0.3643 0.0029  4 H 1.58-1.68
Al 0.1494 0.4834 0.5029  4 H 1.58-1.68
Al 0.8643 0.1494 0.5029  4 H 1.58-1.68
Al 0.3643 0.9834 0.0029  4 H 1.58-1.68
Al 0.9834 0.6494 0.0029  4 H 1.58-1.68
Al 0.4834 0.8643 0.5029  4 H 1.58-1.68
H 0.1194 0.0859 0.0609  1 Al 1.66
H 0.1978 0.2568 0.6334  1 Al 1.64
H 0.9915 0.9443 0.4617  1 Al 1.58
H 0.8481 0.3790 0.8285  1 Al 1.68
H 0.3481 0.4444 0.3285  1 Al 1.68
H 0.4915 0.1025 0.9617  1 Al 1.58
H 0.6978 0.4121 0.1334  1 Al 1.64
H 0.9443 0.6025 0.4617  1 Al 1.58
H 0.6194 0.2338 0.5609  1 Al 1.66
H 0.9121 0.1978 0.6334  1 Al 1.64
H 0.8790 0.3481 0.3285  1 Al 1.68
H 0.2338 0.5859 0.5609  1 Al 1.66
H 0.1025 0.4443 0.9617  1 Al 1.58
H 0.7338 0.1194 0.0609  1 Al 1.66
H 0.3790 0.9444 0.8285  1 Al 1.68
H 0.4121 0.7568 0.1334  1 Al 1.64
H 0.7568 0.6978 0.1334  1 Al 1.64
H 0.4443 0.4915 0.9617  1 Al 1.58
H 0.5859 0.6194 0.5609  1 Al 1.66
H 0.9444 0.8481 0.8285  1 Al 1.68
H 0.4444 0.8790 0.3285  1 Al 1.68
H 0.0859 0.7338 0.0609  1 Al 1.66
H 0.2568 0.9121 0.6334  1 Al 1.64
H 0.6025 0.9915 0.4617  1 Al 1.58

[3]
Entry from Alexandria via LeMat-Bulk: SrCdRh after structural relaxation (PBE).

Calculated volume ... 72 Å³ per cell
Fermi-level density of states ... 0.861 states/eV/atom
Crystal system ... tetragonal
Uncorrected energy ... -0.25485 Ry/atom
Calculated formation energy ... -151 meV per atom

abc: 6.1279 6.1278 3.5943
angles: 72.95 72.94 34.11
Closest atoms and distances in Å follow each position.
Fractional positions:
Cd 0.0366 0.0366 0.9634  4 Rh 2.80
Rh 0.6418 0.6418 0.3582  4 Cd 2.80
Sr 0.3216 0.3216 0.6784  5 Cd 3.18-3.49, 4 Rh 3.24